No. 1
Density functional theory data (PBE-GGA) for a geometry-optimized Ba2H6IrPd structure.

Cell and atoms, written as POSCAR:
```
Ba2H6IrPd
1.0
5.738 -0.003 0.002
-0.003 5.738 0.002
2.869 2.869 3.971
Pd H Ba Ir
1 6 2 1
Cartesian
5.738 -0.003 0.002
6.974 6.974 3.970
1.631 4.104 0.002
1.631 1.631 0.005
4.104 1.631 0.002
5.738 5.739 2.207
2.866 2.866 1.768
2.867 5.737 1.987
5.737 2.867 1.987
2.868 2.868 0.002
```

=====

No. 2
Density functional theory data (PBE-GGA) for a geometry-optimized Ba2H6IrPt structure.

Cell and atoms, written as POSCAR:
```
Ba2H6IrPt
1.0
-4.370 -0.549 4.072
2.728 -4.838 2.266
1.063 -0.552 5.491
H Ba Pt Ir
6 2 1 1
Cartesian
-0.487 -1.602 1.890
0.125 -1.615 4.326
-0.704 -4.324 7.503
0.613 -3.559 2.804
-0.092 -4.337 9.939
-2.255 -1.827 3.533
-2.063 -1.898 6.365
1.484 -4.041 5.463
0.000 0.000 0.000
-0.821 -2.693 3.169
```

=====

No. 3
Density functional theory data (PBE-GGA) for a geometry-optimized Rb2BaH6Ir structure.

Cell and atoms, written as POSCAR:
```
Rb2BaH6Ir
1.0
6.698 0.000 0.000
0.000 6.146 0.000
0.000 -3.073 5.323
Rb H Ba Ir
2 6 1 1
Cartesian
0.789 0.000 3.548
5.910 3.073 1.774
5.704 1.883 4.635
5.704 -1.883 4.635
0.994 1.190 0.687
0.994 4.956 0.687
5.704 0.000 1.374
0.994 3.073 3.948
3.349 0.000 0.000
0.000 0.000 0.000
```

=====

| no. | final energy (Ry/atom) | volume (Å³ per cell) | M_tot (μB/f.u.) |
| --- | --- | --- | --- |
| 1 | -0.31765 | 131 | 0.00 |
| 2 | -0.32346 | 132 | 0.00 |
| 3 | -0.26926 | 219 | 0.50 |